Record 1
Below is a geometry-optimized ErScCuSn structure, with properties calculated at the PBE level.

Calculated volume = 21.72 A^3/atom
N(E_F) = 1.01 states/eV/atom
VASP energy = -5.1607 eV per atom

Cell: 4.9715 4.9715 4.9715 Å, 60.00 60.00 60.00°
Closest atoms and distances in Å follow each position.
Fractional coordinates of all 4 atoms:
Sc1 0.5000 0.5000 0.5000  4 Sn 3.04, 4 Cu 3.04
Cu1 0.7500 0.7500 0.7500  4 Sc 3.04, 4 Er 3.04
Er1 0.0000 0.0000 0.0000  4 Sn 3.04, 4 Cu 3.04
Sn1 0.2500 0.2500 0.2500  4 Er 3.04, 4 Sc 3.04



Record 2
Below is a geometry-optimized Er3Sc3CuTc2 structure, with properties calculated at the PBE level.

Calculated volume = 21.43 A^3/atom
N(E_F) = 0.81 states/eV/atom
VASP energy = -6.4515 eV per atom

Cell: 3.5812 7.8867 7.8867 Å, 120.00 90.00 90.00°
Closest atoms and distances in Å follow each position.
Fractional coordinates of all 9 atoms:
Sc1 0.0000 0.0000 0.4013  4 Tc 3.00, 6 Er 3.14-3.32, 1 Cu 3.17
Sc2 0.0000 0.4013 0.0000  4 Tc 3.00, 6 Er 3.14-3.32, 1 Cu 3.17
Sc3 0.0000 0.5987 0.5987  4 Tc 3.00, 6 Er 3.14-3.32, 1 Cu 3.17
Er1 0.5000 0.7283 0.0000  2 Cu 2.79, 2 Tc 2.90
Er2 0.5000 0.2717 0.2717  2 Cu 2.79, 2 Tc 2.90
Er3 0.5000 0.0000 0.7283  2 Cu 2.79, 2 Tc 2.90
Cu1 0.0000 0.0000 0.0000  6 Er 2.79
Tc1 0.5000 0.3333 0.6667  3 Er 2.90, 6 Sc 3.00
Tc2 0.5000 0.6667 0.3333  3 Er 2.90, 6 Sc 3.00



Record 3
Below is a geometry-optimized ErScCuTc structure, with properties calculated at the PBE level.

Calculated volume = 18.42 A^3/atom
N(E_F) = 0.63 states/eV/atom
VASP energy = -6.5212 eV per atom

Cell: 4.7060 4.7060 4.7060 Å, 60.00 60.00 60.00°
Closest atoms and distances in Å follow each position.
Fractional coordinates of all 4 atoms:
Tc1 0.7500 0.7500 0.7500  4 Er 2.88, 4 Sc 2.88
Sc1 0.5000 0.5000 0.5000  4 Tc 2.88, 4 Cu 2.88
Er1 0.0000 0.0000 0.0000  4 Tc 2.88, 4 Cu 2.88
Cu1 0.2500 0.2500 0.2500  4 Er 2.88, 4 Sc 2.88



Record 4
Below is a geometry-optimized ErScTlCu structure, with properties calculated at the PBE level.

Calculated volume = 22.23 A^3/atom
N(E_F) = 0.75 states/eV/atom
VASP energy = -4.5752 eV per atom

Cell: 5.0100 5.0100 5.0100 Å, 60.00 60.00 60.00°
Closest atoms and distances in Å follow each position.
Fractional coordinates of all 4 atoms:
Er1 0.0000 0.0000 0.0000  4 Tl 3.07, 4 Cu 3.07
Tl1 0.7500 0.7500 0.7500  4 Er 3.07, 4 Sc 3.07
Sc1 0.5000 0.5000 0.5000  4 Cu 3.07, 4 Tl 3.07
Cu1 0.2500 0.2500 0.2500  4 Er 3.07, 4 Sc 3.07



Question: The lowest N(E_F) belongs to which entry?
Answer: ErScCuTc



Question: What is the formula in the second record?
Answer: Er3Sc3CuTc2



Question: Which of these has the lowest calculated volume?
Answer: ErScCuTc



Repeat the fourth record exactly.
Below is a geometry-optimized ErScTlCu structure, with properties calculated at the PBE level.

Calculated volume = 22.23 A^3/atom
N(E_F) = 0.75 states/eV/atom
VASP energy = -4.5752 eV per atom

Cell: 5.0100 5.0100 5.0100 Å, 60.00 60.00 60.00°
Closest atoms and distances in Å follow each position.
Fractional coordinates of all 4 atoms:
Er1 0.0000 0.0000 0.0000  4 Tl 3.07, 4 Cu 3.07
Tl1 0.7500 0.7500 0.7500  4 Er 3.07, 4 Sc 3.07
Sc1 0.5000 0.5000 0.5000  4 Cu 3.07, 4 Tl 3.07
Cu1 0.2500 0.2500 0.2500  4 Er 3.07, 4 Sc 3.07